1.
First-principles (GGA-PBE) data for crystalline BaLa4Se5 at its relaxed geometry, as listed in the Alexandria database.

Lattice parameters (Å, degrees): 14.591 4.361 10.759 90.00 119.66 90.00
Space group C2/m (No. 12)
Symmetry-distinct sites (fractional):
Ba (0.000, 0.000, 0.000)
La (0.096, 0.500, 0.400)
La (0.200, 0.000, 0.791)
Se (0.000, 0.000, 0.500)
Se (0.110, 0.500, 0.896)
Se (0.203, 0.000, 0.311)

energy relative to the elements, uncorrected	-1.983	eV/atom
total magnetization	0.00	μB per cell


2.
First-principles (GGA-PBE) data for crystalline BaLaSm2Se4 at its relaxed geometry, as listed in the Alexandria database.

Lattice parameters (Å, degrees): 7.492 4.283 7.543 90.00 108.90 90.00
Space group P2/m (No. 10)
Symmetry-distinct sites (fractional):
Ba (0.000, 0.000, 0.000)
La (0.500, 0.500, 0.000)
Sm (0.000, 0.500, 0.500)
Sm (0.500, 0.000, 0.500)
Se (0.252, 0.000, 0.734)
Se (0.266, 0.500, 0.273)

energy relative to the elements, uncorrected	-1.883	eV/atom
total magnetization	0.00	μB per cell


3.
First-principles (GGA-PBE) data for crystalline BaLa2SmSe4 at its relaxed geometry, as listed in the Alexandria database.

Lattice parameters (Å, degrees): 7.554 4.341 7.601 90.00 109.08 90.00
Space group P2/m (No. 10)
Symmetry-distinct sites (fractional):
Ba (0.000, 0.000, 0.000)
La (0.500, 0.000, 0.500)
La (0.500, 0.500, 0.000)
Sm (0.000, 0.500, 0.500)
Se (0.249, 0.000, 0.737)
Se (0.260, 0.500, 0.267)

energy relative to the elements, uncorrected	-1.910	eV/atom
total magnetization	0.00	μB per cell


4.
First-principles (GGA-PBE) data for crystalline Ba2LaSnSe5 at its relaxed geometry, as listed in the Alexandria database.

Lattice parameters (Å, degrees): 4.621 19.085 13.270 90.00 90.00 90.00
Space group Cmc2_1 (No. 36)
Symmetry-distinct sites (fractional):
Ba (0.000, 0.114, 0.000)
Ba (0.000, 0.129, 0.630)
La (0.000, 0.212, 0.335)
Sn (0.000, 0.454, 0.768)
Se (0.000, 0.049, 0.371)
Se (0.000, 0.288, 0.981)
Se (0.000, 0.319, 0.685)
Se (0.000, 0.364, 0.317)
Se (0.000, 0.495, 0.084)

energy relative to the elements, uncorrected	-1.582	eV/atom
total magnetization	0.00	μB per cell


5.
First-principles (GGA-PBE) data for crystalline Ba2SrLaSe4 at its relaxed geometry, as listed in the Alexandria database.

Lattice parameters (Å, degrees): 7.826 4.514 7.912 90.00 109.21 90.00
Space group P2/m (No. 10)
Symmetry-distinct sites (fractional):
Ba (0.000, 0.000, 0.000)
Ba (0.500, 0.500, 0.000)
Sr (0.000, 0.500, 0.500)
La (0.500, 0.000, 0.500)
Se (0.249, 0.000, 0.730)
Se (0.262, 0.500, 0.273)

energy relative to the elements, uncorrected	-2.014	eV/atom
total magnetization	0.00	μB per cell


6.
First-principles (GGA-PBE) data for crystalline Ba2SrLaSe at its relaxed geometry, as listed in the Alexandria database.

Lattice parameters (Å, degrees): 7.267 7.267 5.606 90.00 90.00 90.00
Space group P4/mmm (No. 123)
Symmetry-distinct sites (fractional):
Ba (0.000, 0.500, 0.000)
Sr (0.000, 0.000, 0.500)
La (0.500, 0.500, 0.000)
Se (0.500, 0.500, 0.500)

energy relative to the elements, uncorrected	-0.088	eV/atom
total magnetization	0.00	μB per cell


7.
First-principles (GGA-PBE) data for crystalline Ba3La3TbSe8 at its relaxed geometry, as listed in the Alexandria database.

Lattice parameters (Å, degrees): 8.7637 8.7637 22.7139 90.00 90.00 120.00
Space group R-3m (No. 166, hexagonal axes)
Symmetry-distinct sites (fractional):
Ba (0.0000, 0.5000, 0.0000)
La (0.0000, 0.5000, 0.5000)
Tb (0.0000, 0.0000, 0.5000)
Se (0.0000, 0.0000, 0.2423)
Se (0.0114, 0.5057, 0.2384)

energy relative to the elements, uncorrected	-1.996	eV/atom
total magnetization	0.00	μB per cell


8.
First-principles (GGA-PBE) data for crystalline Ba2LaThSe6 at its relaxed geometry, as listed in the Alexandria database.

Lattice parameters (Å, degrees): 7.726 8.196 13.305 90.00 124.40 90.00
Space group P2_1/c (No. 14)
Symmetry-distinct sites (fractional):
Ba (0.218, 0.077, 0.246)
La (0.000, 0.000, 0.500)
Th (0.500, 0.000, 0.000)
Se (0.143, 0.197, 0.942)
Se (0.243, 0.707, 0.936)
Se (0.373, 0.042, 0.753)

energy relative to the elements, uncorrected	-1.769	eV/atom
total magnetization	0.00	μB per cell


9.
First-principles (GGA-PBE) data for crystalline Ba3La3TmSe8 at its relaxed geometry, as listed in the Alexandria database.

Lattice parameters (Å, degrees): 8.7432 8.7432 22.7234 90.00 90.00 120.00
Space group R-3m (No. 166, hexagonal axes)
Symmetry-distinct sites (fractional):
Ba (0.0000, 0.5000, 0.0000)
La (0.0000, 0.5000, 0.5000)
Tm (0.0000, 0.0000, 0.5000)
Se (0.0000, 0.0000, 0.2424)
Se (0.0157, 0.5079, 0.2376)

energy relative to the elements, uncorrected	-1.989	eV/atom
total magnetization	0.00	μB per cell


10.
First-principles (GGA-PBE) data for crystalline Ba3La3YSe8 at its relaxed geometry, as listed in the Alexandria database.

Lattice parameters (Å, degrees): 8.7588 8.7588 22.7158 90.00 90.00 120.00
Space group R-3m (No. 166, hexagonal axes)
Symmetry-distinct sites (fractional):
Ba (0.0000, 0.5000, 0.0000)
La (0.0000, 0.5000, 0.5000)
Y (0.0000, 0.0000, 0.5000)
Se (0.0000, 0.0000, 0.2423)
Se (0.0121, 0.5060, 0.2384)

energy relative to the elements, uncorrected	-1.998	eV/atom
total magnetization	0.00	μB per cell


11.
First-principles (GGA-PBE) data for crystalline Ba2LaZnSe5 at its relaxed geometry, as listed in the Alexandria database.

Lattice parameters (Å, degrees): 4.442 18.227 13.764 90.00 90.00 90.00
Space group Cmc2_1 (No. 36)
Symmetry-distinct sites (fractional):
Ba (0.000, 0.113, 0.000)
Ba (0.000, 0.134, 0.665)
La (0.000, 0.176, 0.337)
Zn (0.000, 0.464, 0.729)
Se (0.000, 0.012, 0.315)
Se (0.000, 0.320, 0.989)
Se (0.000, 0.329, 0.682)
Se (0.000, 0.335, 0.338)
Se (0.000, 0.482, 0.064)

energy relative to the elements, uncorrected	-1.568	eV/atom
total magnetization	3.95	μB per cell


12.
First-principles (GGA-PBE) data for crystalline BaLaSi2 at its relaxed geometry, as listed in the Alexandria database.

Lattice parameters (Å, degrees): 10.860 4.096 7.725 90.00 127.94 90.00
Space group C2/m (No. 12)
Symmetry-distinct sites (fractional):
Ba (0.000, 0.000, 0.000)
La (0.000, 0.500, 0.500)
Si (0.236, 0.000, 0.571)

ΔE to the lowest computed polymorph	229.3	meV per atom
energy relative to the elements, uncorrected	-0.368	eV/atom
total magnetization	0.70	μB per cell


13.
First-principles (GGA-PBE) data for crystalline BaLaSi3 at its relaxed geometry, as listed in the Alexandria database.

Lattice parameters (Å, degrees): 5.434 5.434 5.434 90.00 90.00 90.00
Space group Pm-3m (No. 221)
Symmetry-distinct sites (fractional):
Ba (0.000, 0.000, 0.000)
La (0.500, 0.500, 0.500)
Si (0.000, 0.000, 0.500)

ΔE to the lowest computed polymorph	1413.1	meV per atom
energy relative to the elements, uncorrected	1.022	eV/atom
total magnetization	0.00	μB per cell


14.
First-principles (GGA-PBE) data for crystalline BaLaSi2 at its relaxed geometry, as listed in the Alexandria database.

Lattice parameters (Å, degrees): 4.098 4.114 6.918 90.00 90.23 90.00
Space group P2/m (No. 10)
Symmetry-distinct sites (fractional):
Ba (0.000, 0.000, 0.000)
La (0.000, 0.000, 0.500)
Si (0.499, 0.500, 0.327)

ΔE to the lowest computed polymorph	161.9	meV per atom
energy relative to the elements, uncorrected	-0.436	eV/atom
total magnetization	0.12	μB per cell


15.
First-principles (GGA-PBE) data for crystalline BaLaSi at its relaxed geometry, as listed in the Alexandria database.

Lattice parameters (Å, degrees): 5.0083 5.0083 4.9893 90.00 90.00 120.00
Space group P3m1 (No. 156)
Symmetry-distinct sites (fractional):
Ba (0.0000, 0.0000, 0.0000)
La (0.6667, 0.3333, 0.4735)
Si (0.3333, 0.6667, 0.5960)

energy relative to the elements, uncorrected	-0.240	eV/atom
total magnetization	0.00	μB per cell


16.
First-principles (GGA-PBE) data for crystalline BaLaSi at its relaxed geometry, as listed in the Alexandria database.

Lattice parameters (Å, degrees): 3.997 3.997 13.842 90.00 90.00 90.00
Space group I4mm (No. 107)
Symmetry-distinct sites (fractional):
Ba (0.000, 0.000, 0.000)
La (0.000, 0.000, 0.237)
Si (0.000, 0.000, 0.651)

energy relative to the elements, uncorrected	-0.232	eV/atom
total magnetization	0.00	μB per cell


17.
First-principles (GGA-PBE) data for crystalline BaLa2Si2 at its relaxed geometry, as listed in the Alexandria database.

Lattice parameters (Å, degrees): 8.898 8.898 3.819 90.00 90.00 90.00
Space group P4/mbm (No. 127)
Symmetry-distinct sites (fractional):
Ba (0.000, 0.000, 0.000)
La (0.133, 0.367, 0.500)
Si (0.163, 0.663, 0.000)

ΔE to the lowest computed polymorph	0.0	meV per atom
energy relative to the elements, uncorrected	-0.412	eV/atom
total magnetization	0.00	μB per cell


18.
First-principles (GGA-PBE) data for crystalline BaLaSi3 at its relaxed geometry, as listed in the Alexandria database.

Lattice parameters (Å, degrees): 8.948 14.168 4.396 90.00 90.00 90.00
Space group Cmmm (No. 65)
Symmetry-distinct sites (fractional):
Ba (0.000, 0.000, 0.000)
Ba (0.000, 0.500, 0.000)
La (0.250, 0.250, 0.000)
Si (0.000, 0.177, 0.500)
Si (0.233, 0.087, 0.500)

ΔE to the lowest computed polymorph	0.0	meV per atom
energy relative to the elements, uncorrected	-0.391	eV/atom
total magnetization	0.00	μB per cell


19.
First-principles (GGA-PBE) data for crystalline BaLaSi2 at its relaxed geometry, as listed in the Alexandria database.

Lattice parameters (Å, degrees): 7.288 8.587 3.559 90.00 90.00 90.00
Space group Cmmm (No. 65)
Symmetry-distinct sites (fractional):
Ba (0.000, 0.000, 0.000)
La (0.000, 0.500, 0.000)
Si (0.250, 0.250, 0.500)

ΔE to the lowest computed polymorph	395.8	meV per atom
energy relative to the elements, uncorrected	-0.202	eV/atom
total magnetization	0.00	μB per cell


20.
First-principles (GGA-PBE) data for crystalline BaLaSi2 at its relaxed geometry, as listed in the Alexandria database.

Lattice parameters (Å, degrees): 3.577 3.577 8.736 90.00 90.00 90.00
Space group P4/mmm (No. 123)
Symmetry-distinct sites (fractional):
Ba (0.000, 0.000, 0.000)
La (0.000, 0.000, 0.500)
Si (0.500, 0.500, 0.269)

ΔE to the lowest computed polymorph	345.6	meV per atom
energy relative to the elements, uncorrected	-0.252	eV/atom
total magnetization	0.00	μB per cell


| no. | DFT total energy (Ha/atom) |
| --- | --- |
| 1 | -0.216 |
| 2 | -0.208 |
| 3 | -0.210 |
| 4 | -0.181 |
| 5 | -0.186 |
| 6 | -0.106 |
| 7 | -0.203 |
| 8 | -0.201 |
| 9 | -0.203 |
| 10 | -0.208 |
| 11 | -0.170 |
| 12 | -0.176 |
| 13 | -0.132 |
| 14 | -0.179 |
| 15 | -0.159 |
| 16 | -0.159 |
| 17 | -0.181 |
| 18 | -0.184 |
| 19 | -0.170 |
| 20 | -0.172 |